[1]
# Sr3SnF

A relaxed Sr3SnF crystal (PBE, Alexandria).

Summary:
- N(E_F): 4.3 states/eV/f.u.
- Polymorph energy (0 for the lowest one): 0.051 eV per atom
- ΔE_f (raw): -1321 meV/atom
- Space-group type: Pm-3m

Cell: 5.2950 5.2950 5.2950 Å, 90.00 90.00 90.00°
Closest atoms and distances in Å follow each position.
Fractional coordinates of all 5 atoms:
Sr (0.0000, 0.0000, 0.5000)  2 F 2.65
Sr (0.0000, 0.5000, 0.0000)  2 F 2.65
Sr (0.5000, 0.0000, 0.0000)  2 F 2.65
Sn (0.5000, 0.5000, 0.5000)  12 Sr 3.74
F (0.0000, 0.0000, 0.0000)  6 Sr 2.65


[2]
# SrSnF6

A relaxed SrSnF6 crystal (PBE, Alexandria).

Summary:
- N(E_F): 0.0 states/eV/f.u.
- ΔE_f (raw): -3075 meV/atom
- Space-group type: P312

Cell: 5.5772 5.5772 5.3412 Å, 90.00 90.00 120.00°
Closest atoms and distances in Å follow each position.
Fractional coordinates of all 8 atoms:
Sr (0.0000, 0.0000, 0.0000)  6 F 2.45
Sn (0.3333, 0.6667, 0.5000)  6 F 2.00
F (0.0494, 0.3709, 0.2784)  1 Sn 2.00
F (0.0494, 0.6785, 0.7216)  1 Sn 2.00
F (0.3215, 0.3709, 0.7216)  1 Sn 2.00
F (0.3215, 0.9506, 0.2784)  1 Sn 2.00
F (0.6291, 0.6785, 0.2784)  1 Sn 2.00
F (0.6291, 0.9506, 0.7216)  1 Sn 2.00


[3]
# Sr2SnF

A relaxed Sr2SnF crystal (PBE, Alexandria).

Summary:
- N(E_F): 3.7 states/eV/f.u.
- Polymorph energy (0 for the lowest one): 0.613 eV per atom
- ΔE_f (raw): -1100 meV/atom
- Space-group type: R-3m

Cell: 9.9999 9.9999 9.9999 Å, 22.60 22.60 22.60°
Closest atoms and distances in Å follow each position.
Fractional coordinates of all 4 atoms:
Sr (0.1110, 0.1110, 0.1110)  3 F 2.79
Sr (0.8890, 0.8890, 0.8890)  3 F 2.79
Sn (0.0000, 0.0000, 0.0000)  2 Sr 3.24
F (0.5000, 0.5000, 0.5000)  6 Sr 2.79


[4]
# Sr12Sn3F5

A relaxed Sr12Sn3F5 crystal (PBE, Alexandria).

Summary:
- N(E_F): 15.3 states/eV/f.u.
- ΔE_f (raw): -1586 meV/atom
- Space-group type: Ia-3d

Cell: 15.1293 15.1293 15.1293 Å, 109.47 109.47 109.47°
Closest atoms and distances in Å follow each position.
Fractional coordinates of all 80 atoms:
Sr (0.0204, 0.2098, 0.1186)  1 F 2.49
Sr (0.0204, 0.3106, 0.9017)  1 F 2.49
Sr (0.0911, 0.7098, 0.6894)  1 F 2.49
Sr (0.0911, 0.8814, 0.4017)  1 F 2.49
Sr (0.0983, 0.6186, 0.4089)  1 F 2.49
Sr (0.0983, 0.9796, 0.6894)  1 F 2.49
Sr (0.1186, 0.0204, 0.2098)  1 F 2.49
Sr (0.1186, 0.5983, 0.9089)  1 F 2.49
Sr (0.1894, 0.2098, 0.5911)  1 F 2.49
Sr (0.1894, 0.4796, 0.5983)  1 F 2.49
Sr (0.2098, 0.1186, 0.0204)  1 F 2.49
Sr (0.2098, 0.5911, 0.1894)  1 F 2.49
Sr (0.2902, 0.3106, 0.9089)  1 F 2.49
Sr (0.2902, 0.4796, 0.3814)  1 F 2.49
Sr (0.3106, 0.9017, 0.0204)  1 F 2.49
Sr (0.3106, 0.9089, 0.2902)  1 F 2.49
Sr (0.3814, 0.2902, 0.4796)  1 F 2.49
Sr (0.3814, 0.5911, 0.9017)  1 F 2.49
Sr (0.4017, 0.0911, 0.8814)  1 F 2.49
Sr (0.4017, 0.8106, 0.5204)  1 F 2.49
Sr (0.4089, 0.0983, 0.6186)  1 F 2.49
Sr (0.4089, 0.8106, 0.7902)  1 F 2.49
Sr (0.4796, 0.3814, 0.2902)  1 F 2.49
Sr (0.4796, 0.5983, 0.1894)  1 F 2.49
Sr (0.5204, 0.4017, 0.8106)  1 F 2.49
Sr (0.5204, 0.6186, 0.7098)  1 F 2.49
Sr (0.5911, 0.1894, 0.2098)  1 F 2.49
Sr (0.5911, 0.9017, 0.3814)  1 F 2.49
Sr (0.5983, 0.1894, 0.4796)  1 F 2.49
Sr (0.5983, 0.9089, 0.1186)  1 F 2.49
Sr (0.6186, 0.4089, 0.0983)  1 F 2.49
Sr (0.6186, 0.7098, 0.5204)  1 F 2.49
Sr (0.6894, 0.0911, 0.7098)  1 F 2.49
Sr (0.6894, 0.0983, 0.9796)  1 F 2.49
Sr (0.7098, 0.5204, 0.6186)  1 F 2.49
Sr (0.7098, 0.6894, 0.0911)  1 F 2.49
Sr (0.7902, 0.4089, 0.8106)  1 F 2.49
Sr (0.7902, 0.8814, 0.9796)  1 F 2.49
Sr (0.8106, 0.5204, 0.4017)  1 F 2.49
Sr (0.8106, 0.7902, 0.4089)  1 F 2.49
Sr (0.8814, 0.4017, 0.0911)  1 F 2.49
Sr (0.8814, 0.9796, 0.7902)  1 F 2.49
Sr (0.9017, 0.0204, 0.3106)  1 F 2.49
Sr (0.9017, 0.3814, 0.5911)  1 F 2.49
Sr (0.9089, 0.1186, 0.5983)  1 F 2.49
Sr (0.9089, 0.2902, 0.3106)  1 F 2.49
Sr (0.9796, 0.6894, 0.0983)  1 F 2.49
Sr (0.9796, 0.7902, 0.8814)  1 F 2.49
Sn (0.1250, 0.2500, 0.3750)  8 Sr 3.41-3.49
Sn (0.1250, 0.3750, 0.7500)  8 Sr 3.41-3.49
Sn (0.2500, 0.3750, 0.1250)  8 Sr 3.41-3.49
Sn (0.2500, 0.8750, 0.6250)  8 Sr 3.41-3.49
Sn (0.3750, 0.1250, 0.2500)  8 Sr 3.41-3.49
Sn (0.3750, 0.7500, 0.1250)  8 Sr 3.41-3.49
Sn (0.6250, 0.2500, 0.8750)  8 Sr 3.41-3.49
Sn (0.6250, 0.8750, 0.7500)  8 Sr 3.41-3.49
Sn (0.7500, 0.1250, 0.3750)  8 Sr 3.41-3.49
Sn (0.7500, 0.6250, 0.8750)  8 Sr 3.41-3.49
Sn (0.8750, 0.6250, 0.2500)  8 Sr 3.41-3.49
Sn (0.8750, 0.7500, 0.6250)  8 Sr 3.41-3.49
F (0.0000, 0.0000, 0.0000)  6 Sr 2.93
F (0.0000, 0.0000, 0.5000)  6 Sr 2.93
F (0.0000, 0.5000, 0.0000)  6 Sr 2.93
F (0.0000, 0.5000, 0.5000)  6 Sr 2.93
F (0.1250, 0.7500, 0.8750)  4 Sr 2.49
F (0.1250, 0.8750, 0.2500)  4 Sr 2.49
F (0.2500, 0.1250, 0.8750)  4 Sr 2.49
F (0.2500, 0.6250, 0.3750)  4 Sr 2.49
F (0.3750, 0.2500, 0.6250)  4 Sr 2.49
F (0.3750, 0.6250, 0.7500)  4 Sr 2.49
F (0.5000, 0.0000, 0.0000)  6 Sr 2.93
F (0.5000, 0.0000, 0.5000)  6 Sr 2.93
F (0.5000, 0.5000, 0.0000)  6 Sr 2.93
F (0.5000, 0.5000, 0.5000)  6 Sr 2.93
F (0.6250, 0.3750, 0.2500)  4 Sr 2.49
F (0.6250, 0.7500, 0.3750)  4 Sr 2.49
F (0.7500, 0.3750, 0.6250)  4 Sr 2.49
F (0.7500, 0.8750, 0.1250)  4 Sr 2.49
F (0.8750, 0.1250, 0.7500)  4 Sr 2.49
F (0.8750, 0.2500, 0.1250)  4 Sr 2.49


[5]
# SrSn2F6

A relaxed SrSn2F6 crystal (PBE, Alexandria).

Summary:
- N(E_F): 0.0 states/eV/f.u.
- Polymorph energy (0 for the lowest one): 0.013 eV per atom
- ΔE_f (raw): -2810 meV/atom
- Space-group type: C2/c

Cell: 7.7786 7.7786 5.6533 Å, 99.77 99.77 100.18°
Closest atoms and distances in Å follow each position.
Fractional coordinates of all 18 atoms:
Sr (0.1296, 0.8704, 0.7500)  8 F 2.52-2.62
Sr (0.8704, 0.1296, 0.2500)  8 F 2.52-2.62
Sn (0.2079, 0.4289, 0.9155)  3 F 2.09-2.22
Sn (0.4289, 0.2079, 0.4155)  3 F 2.09-2.22
Sn (0.5711, 0.7921, 0.5845)  3 F 2.09-2.22
Sn (0.7921, 0.5711, 0.0845)  3 F 2.09-2.22
F (0.0665, 0.6659, 0.0397)  2 Sn 2.20-2.37
F (0.1128, 0.1792, 0.6319)  1 Sn 2.22
F (0.1754, 0.5491, 0.6112)  1 Sn 2.09
F (0.1792, 0.1128, 0.1319)  1 Sn 2.22
F (0.3341, 0.9335, 0.4603)  2 Sn 2.20-2.37
F (0.4509, 0.8246, 0.8888)  1 Sn 2.09
F (0.5491, 0.1754, 0.1112)  1 Sn 2.09
F (0.6659, 0.0665, 0.5397)  2 Sn 2.20-2.37
F (0.8208, 0.8872, 0.8681)  1 Sn 2.22
F (0.8246, 0.4509, 0.3888)  1 Sn 2.09
F (0.8872, 0.8208, 0.3681)  1 Sn 2.22
F (0.9335, 0.3341, 0.9603)  2 Sn 2.20-2.37


[6]
# Sr3SnF

A relaxed Sr3SnF crystal (PBE, Alexandria).

Summary:
- N(E_F): 1.2 states/eV/f.u.
- Polymorph energy (0 for the lowest one): 0.000 eV per atom
- ΔE_f (raw): -1372 meV/atom
- Space-group type: P2_1/m

Cell: 5.9925 7.3109 7.1172 Å, 90.00 93.39 90.00°
Closest atoms and distances in Å follow each position.
Fractional coordinates of all 10 atoms:
Sr (0.2361, 0.2500, 0.1133)  1 F 2.49
Sr (0.2517, 0.0025, 0.6465)  2 F 2.57-2.72
Sr (0.2517, 0.4975, 0.6465)  2 F 2.57-2.72
Sr (0.7483, 0.5025, 0.3535)  2 F 2.57-2.72
Sr (0.7483, 0.9975, 0.3535)  2 F 2.57-2.72
Sr (0.7639, 0.7500, 0.8867)  1 F 2.49
Sn (0.2716, 0.7500, 0.1601)  8 Sr 3.51-3.93, 1 F 3.66
Sn (0.7284, 0.2500, 0.8399)  8 Sr 3.51-3.93, 1 F 3.66
F (0.0413, 0.2500, 0.4132)  5 Sr 2.49-2.72
F (0.9587, 0.7500, 0.5868)  5 Sr 2.49-2.72


[7]
# SrSn2F

A relaxed SrSn2F crystal (PBE, Alexandria).

Summary:
- N(E_F): 1.7 states/eV/f.u.
- Polymorph energy (0 for the lowest one): 0.000 eV per atom
- ΔE_f (raw): -769 meV/atom
- Space-group type: I-42d

Cell: 8.9130 8.9130 8.9130 Å, 142.13 142.13 54.63°
Closest atoms and distances in Å follow each position.
Fractional coordinates of all 8 atoms:
Sr (0.0000, 0.0000, 0.0000)  8 Sn 3.60-3.99
Sr (0.7500, 0.2500, 0.5000)  8 Sn 3.60-3.99
Sn (0.3313, 0.6250, 0.2063)  2 F 2.46
Sn (0.3750, 0.5813, 0.7063)  2 F 2.46
Sn (0.4187, 0.1250, 0.7937)  2 F 2.46
Sn (0.8750, 0.6687, 0.2937)  2 F 2.46
F (0.2500, 0.7500, 0.5000)  4 Sn 2.46
F (0.5000, 0.5000, 0.0000)  4 Sn 2.46


[8]
# Sr6Sn3F

A relaxed Sr6Sn3F crystal (PBE, Alexandria).

Summary:
- N(E_F): 4.8 states/eV/f.u.
- ΔE_f (raw): -993 meV/atom
- Space-group type: Cmc2_1

Cell: 10.3332 10.3332 7.7483 Å, 90.00 90.00 107.22°
Closest atoms and distances in Å follow each position.
Fractional coordinates of all 20 atoms:
Sr (0.0526, 0.9474, 0.5000)  1 F 2.67
Sr (0.1098, 0.5745, 0.5775)  1 F 2.56
Sr (0.2371, 0.7629, 0.0819)  1 F 2.56
Sr (0.3147, 0.3477, 0.0896)  4 Sn 3.35-3.48
Sr (0.3477, 0.3147, 0.5896)  4 Sn 3.35-3.48
Sr (0.4255, 0.8902, 0.5775)  1 F 2.56
Sr (0.5745, 0.1098, 0.0775)  1 F 2.56
Sr (0.6523, 0.6853, 0.0896)  4 Sn 3.35-3.48
Sr (0.6853, 0.6523, 0.5896)  4 Sn 3.35-3.48
Sr (0.7629, 0.2371, 0.5819)  1 F 2.56
Sr (0.8902, 0.4255, 0.0775)  1 F 2.56
Sr (0.9474, 0.0526, 0.0000)  1 F 2.67
Sn (0.0490, 0.2681, 0.3590)  7 Sr 3.35-3.52
Sn (0.2681, 0.0490, 0.8590)  7 Sr 3.35-3.52
Sn (0.3922, 0.6078, 0.8098)  7 Sr 3.33-3.39
Sn (0.6078, 0.3922, 0.3098)  7 Sr 3.33-3.39
Sn (0.7319, 0.9510, 0.3590)  7 Sr 3.35-3.52
Sn (0.9510, 0.7319, 0.8590)  7 Sr 3.35-3.52
F (0.2066, 0.7934, 0.4053)  4 Sr 2.56-2.67
F (0.7934, 0.2066, 0.9053)  4 Sr 2.56-2.67


[9]
# Sr6Sn2F

A relaxed Sr6Sn2F crystal (PBE, Alexandria).

Summary:
- N(E_F): 5.6 states/eV/f.u.
- ΔE_f (raw): -962 meV/atom
- Space-group type: P2_1/c

Cell: 7.2977 8.9803 12.6571 Å, 90.00 124.67 90.00°
Closest atoms and distances in Å follow each position.
Fractional coordinates of all 18 atoms:
Sr (0.1087, 0.1802, 0.4425)  1 F 2.99
Sr (0.1087, 0.3198, 0.9425)  1 F 2.99
Sr (0.2713, 0.6634, 0.4444)  1 F 3.33, 3 Sn 3.39-3.65
Sr (0.2713, 0.8366, 0.9444)  1 F 3.33, 3 Sn 3.39-3.65
Sr (0.3680, 0.0265, 0.2648)  1 F 2.57
Sr (0.3680, 0.4735, 0.7648)  1 F 2.57
Sr (0.6320, 0.5265, 0.2352)  1 F 2.57
Sr (0.6320, 0.9735, 0.7352)  1 F 2.57
Sr (0.7287, 0.1634, 0.0556)  1 F 3.33, 3 Sn 3.39-3.65
Sr (0.7287, 0.3366, 0.5556)  1 F 3.33, 3 Sn 3.39-3.65
Sr (0.8913, 0.6802, 0.0575)  1 F 2.99
Sr (0.8913, 0.8198, 0.5575)  1 F 2.99
Sn (0.1980, 0.1172, 0.7451)  8 Sr 3.39-3.65
Sn (0.1980, 0.3828, 0.2451)  8 Sr 3.39-3.65
Sn (0.8020, 0.6172, 0.7549)  8 Sr 3.39-3.65
Sn (0.8020, 0.8828, 0.2549)  8 Sr 3.39-3.65
F (0.5000, 0.0000, 0.5000)  2 Sr 2.57
F (0.5000, 0.5000, 0.0000)  2 Sr 2.57


[10]
# SrSn3F9

A relaxed SrSn3F9 crystal (PBE, Alexandria).

Summary:
- N(E_F): 1.8 states/eV/f.u.
- ΔE_f (raw): -2604 meV/atom
- Space-group type: Cc

Cell: 9.1239 9.1239 10.7530 Å, 118.32 118.32 44.74°
Closest atoms and distances in Å follow each position.
Fractional coordinates of all 26 atoms:
Sr (0.1966, 0.8034, 0.5000)  6 F 2.40-2.55
Sr (0.8034, 0.1966, 0.0000)  6 F 2.40-2.55
Sn (0.3456, 0.3958, 0.1314)  3 F 2.09-2.20
Sn (0.3958, 0.3456, 0.6314)  3 F 2.09-2.20
Sn (0.4097, 0.8473, 0.9566)  3 F 2.03-2.14
Sn (0.6774, 0.7692, 0.3307)  4 F 2.04-2.27
Sn (0.7692, 0.6774, 0.8307)  4 F 2.04-2.27
Sn (0.8473, 0.4097, 0.4566)  3 F 2.03-2.14
F (0.0156, 0.6266, 0.0241)  2 Sn 2.14-2.20
F (0.1516, 0.2070, 0.4299)  1 Sn 2.04
F (0.1846, 0.9126, 0.0157)  1 Sn 2.03
F (0.2070, 0.1516, 0.9299)  1 Sn 2.04
F (0.2682, 0.7618, 0.7399)  1 Sn 2.14
F (0.3081, 0.6721, 0.2834)  1 Sn 2.13
F (0.4010, 0.4288, 0.4838)  1 Sn 2.09
F (0.4288, 0.4010, 0.9838)  1 Sn 2.09
F (0.4837, 0.9847, 0.1981)  2 Sn 2.09-2.28
F (0.5756, 0.6805, 0.5984)  2 Sn 2.27-2.43, 1 Sr 2.55
F (0.6266, 0.0156, 0.5241)  2 Sn 2.14-2.20
F (0.6721, 0.3081, 0.7834)  1 Sn 2.13
F (0.6805, 0.5756, 0.0984)  2 Sn 2.27-2.43, 1 Sr 2.55
F (0.7283, 0.9399, 0.8546)  1 Sn 2.04
F (0.7618, 0.2682, 0.2399)  1 Sn 2.14
F (0.9126, 0.1846, 0.5157)  1 Sn 2.03
F (0.9399, 0.7283, 0.3546)  1 Sn 2.04
F (0.9847, 0.4837, 0.6981)  2 Sn 2.09-2.28


[11]
# Sr4Sn2F

A relaxed Sr4Sn2F crystal (PBE, Alexandria).

Summary:
- N(E_F): 3.3 states/eV/f.u.
- Polymorph energy (0 for the lowest one): 0.018 eV per atom
- ΔE_f (raw): -1249 meV/atom
- Space-group type: P2_1/m

Cell: 7.5390 7.5783 9.0988 Å, 90.00 107.28 90.00°
Closest atoms and distances in Å follow each position.
Fractional coordinates of all 14 atoms:
Sr (0.0012, 0.0086, 0.2584)  1 F 2.45
Sr (0.0012, 0.4914, 0.2584)  1 F 2.45
Sr (0.3971, 0.7500, 0.0771)  1 F 2.49
Sr (0.4341, 0.7500, 0.6315)  1 F 2.48
Sr (0.5659, 0.2500, 0.3685)  1 F 2.48
Sr (0.6029, 0.2500, 0.9229)  1 F 2.49
Sr (0.9988, 0.5086, 0.7416)  1 F 2.45
Sr (0.9988, 0.9914, 0.7416)  1 F 2.45
Sn (0.2193, 0.2500, 0.0419)  6 Sr 3.32-3.44
Sn (0.2646, 0.2500, 0.5764)  6 Sr 3.36-3.50
Sn (0.7354, 0.7500, 0.4236)  6 Sr 3.36-3.50
Sn (0.7807, 0.7500, 0.9581)  6 Sr 3.32-3.44
F (0.2255, 0.7500, 0.7974)  4 Sr 2.45-2.49
F (0.7745, 0.2500, 0.2026)  4 Sr 2.45-2.49


[12]
# Sr2Sn2F

A relaxed Sr2Sn2F crystal (PBE, Alexandria).

Summary:
- N(E_F): 3.1 states/eV/f.u.
- ΔE_f (raw): -1233 meV/atom
- Space-group type: P4/mbm

Cell: 7.1583 7.1583 5.6989 Å, 90.00 90.00 90.00°
Closest atoms and distances in Å follow each position.
Fractional coordinates of all 10 atoms:
Sr (0.1766, 0.3234, 0.0000)  2 F 2.64
Sr (0.3234, 0.8234, 0.0000)  2 F 2.64
Sr (0.6766, 0.1766, 0.0000)  2 F 2.64
Sr (0.8234, 0.6766, 0.0000)  2 F 2.64
Sn (0.1477, 0.6477, 0.5000)  1 Sn 2.99
Sn (0.3523, 0.1477, 0.5000)  1 Sn 2.99
Sn (0.6477, 0.8523, 0.5000)  1 Sn 2.99
Sn (0.8523, 0.3523, 0.5000)  1 Sn 2.99
F (0.0000, 0.0000, 0.0000)  4 Sr 2.64
F (0.5000, 0.5000, 0.0000)  4 Sr 2.64